{"formula": "Ac4IrPbSe2", "functional": "PBE-GGA", "state": "relaxed", "vol_a3_per_atom": 34.14, "dos_at_fermi_per_ev_atom": 0.5525, "total_magnetization_mub_per_fu": 0.000, "final_energy_ha_per_atom": -0.20860, "spacegroup": "P2/m (10)", "e_form_raw_ev_per_atom": -1.1799, "lattice_angstrom": [[4.534, 0.000, 0.000], [0.000, 7.909, 0.157], [0.000, -2.747, 7.563]], "species": ["Ac", "Ac", "Ac", "Ac", "Ir", "Pb", "Se", "Se"], "frac_coords": [[0.500, 0.274, 0.237], [0.500, 0.726, 0.763], [0.000, 0.269, 0.765], [0.000, 0.731, 0.235], [0.500, 0.500, 0.000], [0.000, 0.000, 0.000], [0.500, 0.000, 0.500], [0.000, 0.500, 0.500]]}

---

{"formula": "La12Pr3Mg", "functional": "PBE-GGA", "state": "relaxed", "vol_a3_per_atom": 35.86, "ef_ev_per_atom": 0.00, "dos_at_fermi_per_ev_atom": 1.4788, "total_magnetization_mub_per_fu": 0.000, "final_energy_ha_per_atom": -0.17244, "spacegroup": "P4/mmm (123)", "lattice_angstrom": [[5.228, 0.000, 0.000], [0.000, 5.228, 0.000], [0.000, 0.000, 20.994]], "species": ["La", "La", "La", "La", "La", "La", "La", "La", "La", "La", "La", "La", "Pr", "Pr", "Pr", "Mg"], "frac_coords": [[0.500, 0.500, 0.000], [0.500, 0.500, 0.247], [0.500, 0.500, 0.500], [0.500, 0.500, 0.753], [0.500, 0.000, 0.122], [0.500, 0.000, 0.373], [0.500, 0.000, 0.627], [0.500, 0.000, 0.878], [0.000, 0.500, 0.122], [0.000, 0.500, 0.373], [0.000, 0.500, 0.627], [0.000, 0.500, 0.878], [0.000, 0.000, 0.246], [0.000, 0.000, 0.500], [0.000, 0.000, 0.754], [0.000, 0.000, 0.000]]}